1.
A plane-wave DFT calculation with PBE was carried out for a geometry-optimized Cd3ClF3 structure.

Cell lengths 8.196, 8.196, 8.196 Å; angles 46.19, 46.19, 46.19 degrees
Positions (direct):
Cd: 0.129 0.819 0.336
Cd: 0.181 0.664 0.871
Cd: 0.336 0.129 0.819
Cd: 0.664 0.871 0.181
Cd: 0.819 0.336 0.129
Cd: 0.871 0.181 0.664
Cl: 0.353 0.353 0.353
Cl: 0.647 0.647 0.647
F: 0.087 0.565 0.728
F: 0.272 0.913 0.435
F: 0.435 0.272 0.913
F: 0.565 0.728 0.087
F: 0.728 0.087 0.565
F: 0.913 0.435 0.272

## Properties
DFT total energy: -3.0203 eV per atom
M_tot: 0.00 μB per cell

2.
A plane-wave DFT calculation with PBE was carried out for a geometry-optimized CdCl2F structure.

Cell lengths 7.804, 7.804, 7.804 Å; angles 29.59, 29.59, 29.59 degrees
Positions (direct):
Cd: 0.000 0.000 0.000
Cl: 0.395 0.395 0.395
Cl: 0.605 0.605 0.605
F: 0.500 0.500 0.500

## Properties
DFT total energy: -2.3202 eV per atom
Energy relative to the lowest polymorph listed for this composition: 0.000 eV per atom
M_tot: 1.00 μB per cell

3.
A plane-wave DFT calculation with PBE was carried out for a geometry-optimized CdClF structure.

Cell lengths 10.952, 3.754, 6.376 Å; angles 90.00, 90.00, 90.00 degrees
Positions (direct):
Cd: 0.133 0.250 0.088
Cd: 0.367 0.750 0.588
Cd: 0.633 0.250 0.412
Cd: 0.867 0.750 0.912
Cl: 0.161 0.750 0.378
Cl: 0.339 0.250 0.878
Cl: 0.661 0.750 0.122
Cl: 0.839 0.250 0.622
F: 0.077 0.750 0.903
F: 0.423 0.250 0.403
F: 0.577 0.750 0.597
F: 0.923 0.250 0.097

## Properties
DFT total energy: -3.1704 eV per atom
Energy relative to the lowest polymorph listed for this composition: 0.020 eV per atom
M_tot: 0.00 μB per cell

4.
A plane-wave DFT calculation with PBE was carried out for a geometry-optimized CdCl3F structure.

Cell lengths 4.712, 4.712, 4.712 Å; angles 90.00, 90.00, 90.00 degrees
Positions (direct):
Cd: 0.000 0.000 0.000
Cl: 0.000 0.500 0.500
Cl: 0.500 0.000 0.500
Cl: 0.500 0.500 0.000
F: 0.500 0.500 0.500

## Properties
DFT total energy: -1.5974 eV per atom
Energy relative to the lowest polymorph listed for this composition: 0.267 eV per atom
M_tot: 0.00 μB per cell

5.
A plane-wave DFT calculation with PBE was carried out for a geometry-optimized CdClF3 structure.

Cell lengths 4.410, 4.410, 4.410 Å; angles 90.00, 90.00, 90.00 degrees
Positions (direct):
Cd: 0.000 0.000 0.000
Cl: 0.500 0.500 0.500
F: 0.000 0.000 0.500
F: 0.000 0.500 0.000
F: 0.500 0.000 0.000

## Properties
DFT total energy: -2.6951 eV per atom
Energy relative to the lowest polymorph listed for this composition: 0.000 eV per atom
M_tot: 2.00 μB per cell

6.
A plane-wave DFT calculation with PBE was carried out for a geometry-optimized CdCl2F structure.

Cell lengths 7.215, 7.215, 7.215 Å; angles 39.61, 39.61, 39.61 degrees
Positions (direct):
Cd: 0.000 0.000 0.000
Cl: 0.114 0.114 0.114
Cl: 0.886 0.886 0.886
F: 0.500 0.500 0.500

## Properties
DFT total energy: -1.9339 eV per atom
Energy relative to the lowest polymorph listed for this composition: 0.386 eV per atom
M_tot: 1.00 μB per cell

Which value of M_tot does entry 3 give?
0.00 μB per cell

Among the records above, which one has the highest DFT total energy?
CdCl3F